# 1
ZrZnPbSe3 after structural relaxation. Source: OQMD, functional PBE-GGA.

Lattice parameters (Å, degrees): 3.7359 15.0734 10.1828 90.00 90.00 90.00
Closest atoms and distances in Å follow each position.
Space group Cmcm (No. 63)
One atom of each set of equivalent atoms:
Zr 0.0000 0.0000 0.0000 [4 per cell]  6 Se 2.78
Zn 0.0000 0.4595 0.2500 [4 per cell]  4 Se 2.50-2.54
Pb 0.0000 0.2532 0.7500 [4 per cell]  8 Se 3.20-3.47
Se 0.0000 0.0741 0.2500 [4 per cell]  2 Zn 2.54, 2 Zr 2.78
Se 0.0000 0.3671 0.0461 [8 per cell]  1 Zn 2.50, 2 Zr 2.78

## Properties
Energy ... -4.67 eV per atom
Size of the total moment ... 0.0 μB/f.u.

# 2
ErZnPbSe3 after structural relaxation. Source: OQMD, functional PBE-GGA.

Lattice parameters (Å, degrees): 4.0750 13.8697 10.6275 90.00 90.00 90.00
Closest atoms and distances in Å follow each position.
Space group Cmcm (No. 63)
One atom of each set of equivalent atoms:
Er 0.0000 0.0000 0.0000 [4 per cell]  6 Se 2.86
Zn 0.0000 0.4586 0.2500 [4 per cell]  4 Se 2.54-2.60
Pb 0.0000 0.2324 0.7500 [4 per cell]  6 Se 3.23-3.35, 2 Zn 3.34
Se 0.0000 0.0755 0.2500 [4 per cell]  2 Zn 2.60, 2 Er 2.86
Se 0.0000 0.3604 0.0482 [8 per cell]  1 Zn 2.54

## Properties
Energy ... -4.26 eV per atom
Size of the total moment ... 0.0 μB/f.u.

# 3
ZrScFeB after structural relaxation. Source: OQMD, functional PBE-GGA.

Lattice parameters (Å, degrees): 6.0230 6.0230 6.0230 90.00 90.00 90.00
Closest atoms and distances in Å follow each position.
Space group F-43m (No. 216)
One atom of each set of equivalent atoms:
Zr 0.0000 0.0000 0.0000 [4 per cell]  4 Fe 2.61, 4 Sc 2.61
Sc 0.2500 0.2500 0.2500 [4 per cell]  4 Zr 2.61, 4 B 2.61
Fe 0.2500 0.2500 0.7500 [4 per cell]  4 Zr 2.61, 4 B 2.61
B 0.0000 0.0000 0.5000 [4 per cell]  4 Fe 2.61, 4 Sc 2.61

## Properties
Relative energy among the computed polymorphs ... 0.000 eV per atom
Size of the total moment ... 0.0 μB/f.u.

# 4
Ho5Er2Mg after structural relaxation. Source: OQMD, functional PBE-GGA.

Lattice parameters (Å, degrees): 5.5660 7.0618 12.2344 90.00 90.00 90.00
Closest atoms and distances in Å follow each position.
Space group Amm2 (No. 38)
One atom of each set of equivalent atoms:
Ho 0.0000 0.0000 0.0000 [2 per cell]  4 Er 3.43-3.53, 8 Ho 3.43-3.54
Ho 0.0000 0.2498 0.2505 [4 per cell]  2 Mg 3.45, 4 Er 3.46-3.54, 6 Ho 3.46-3.54
Ho 0.5000 0.2461 0.0820 [4 per cell]  6 Ho 3.43-3.59, 4 Er 3.46-3.59, 2 Mg 3.53
Er 0.0000 0.0000 0.5001 [2 per cell]  2 Mg 3.45, 10 Ho 3.46-3.54
Er 0.5000 0.0000 0.8366 [2 per cell]  10 Ho 3.43-3.59, 2 Mg 3.53
Mg 0.5000 0.0000 0.3336 [2 per cell]  8 Ho 3.45-3.53, 4 Er 3.45-3.53

## Properties
Energy ... -4.17 eV per atom
Size of the total moment ... 0.3 μB/f.u.

# 5
NbFeCoSi after structural relaxation. Source: OQMD, functional PBE-GGA.

Lattice parameters (Å, degrees): 5.8649 5.8649 5.8649 90.00 90.00 90.00
Closest atoms and distances in Å follow each position.
Space group F-43m (No. 216)
One atom of each set of equivalent atoms:
Nb 0.0000 0.0000 0.0000 [4 per cell]  4 Fe 2.54, 4 Co 2.54
Fe 0.2500 0.2500 0.2500 [4 per cell]  4 Nb 2.54, 4 Si 2.54
Co 0.2500 0.2500 0.7500 [4 per cell]  4 Nb 2.54, 4 Si 2.54
Si 0.0000 0.0000 0.5000 [4 per cell]  4 Fe 2.54, 4 Co 2.54

## Properties
Relative energy among the computed polymorphs ... 0.000 eV per atom
Size of the total moment ... 2.0 μB/f.u.

# 6
ThIn after structural relaxation. Source: OQMD, functional PBE-GGA.

Lattice parameters (Å, degrees): 7.0657 7.0657 7.0657 90.00 90.00 90.00
Closest atoms and distances in Å follow each position.
Space group F-43m (No. 216)
One atom of each set of equivalent atoms:
Th 0.0000 0.0000 0.0000 [4 per cell]  4 In 3.06
In 0.2500 0.2500 0.2500 [4 per cell]  4 Th 3.06

## Properties
Energy ... -4.15 eV per atom
Size of the total moment ... 0.0 μB/f.u.

size of the total moment of number 5 (NbFeCoSi)?
2.0 μB/f.u.